A relaxed structure of BaNa3Bi3. Source: the Alexandria database, functional GGA-PBE.

Values from the calculation:
symmetry: No. 223
calculated formation energy: 5.5 kJ/mol of atoms
distance to the lowest polymorph of the same formula: 441 meV per atom

Cell lengths 8.3468, 8.3468, 8.3468 Å; angles 90.00, 90.00, 90.00 degrees
Atoms (fractional coordinates):
Ba: 0.0000 0.0000 0.0000
Ba: 0.5000 0.5000 0.5000
Na: 0.0000 0.2500 0.5000
Na: 0.0000 0.7500 0.5000
Na: 0.2500 0.5000 0.0000
Na: 0.5000 0.0000 0.2500
Na: 0.5000 0.0000 0.7500
Na: 0.7500 0.5000 0.0000
Bi: 0.0000 0.5000 0.2500
Bi: 0.0000 0.5000 0.7500
Bi: 0.2500 0.0000 0.5000
Bi: 0.5000 0.2500 0.0000
Bi: 0.5000 0.7500 0.0000
Bi: 0.7500 0.0000 0.5000